RbNd2Be2O6 | Alexandria | GGA-PBE | optimized geometry; formation energy from raw total energies = -2.52 eV/atom; magnetization = 0.09 μB per atom
1.0
-1.6276 6.1753 -0.0599
-3.5221 2.3388 -4.7060
-3.0094 -0.7489 5.6696
O Rb Nd Be
6 1 2 2
direct
0.9309 0.1401 0.3742 O
0.0691 0.8599 0.6258 O
0.3995 0.5907 0.8352 O
0.0089 0.5913 0.8357 O
0.6005 0.4093 0.1648 O
0.9911 0.4087 0.1643 O
0.5000 0.0000 0.5000 Rb
0.1753 0.6494 0.1952 Nd
0.8247 0.3506 0.8048 Nd
0.8468 0.3075 0.2439 Be
0.1532 0.6925 0.7561 Be